No. 1
First-principles (GGA-PBEsol) data for a relaxed CaCo2RuS crystal, as listed in Alexandria via LeMat-Bulk.

Properties
**Crystal system**: tetragonal

CIF file:
```
data_CaCo2RuS
_cell_length_a 4.269
_cell_length_b 4.269
_cell_length_c 4.784
_cell_angle_alpha 90.00
_cell_angle_beta 90.00
_cell_angle_gamma 90.00
_space_group_name_H-M_alt 'P 4/m m m'
_space_group_IT_number 123
_space_group_name_Hall '-P 4 2'
loop_
_atom_site_label
_atom_site_fract_x
_atom_site_fract_y
_atom_site_fract_z
Ca1 0.000 0.000 0.000
Co1 0.000 0.500 0.000
Ru1 0.500 0.500 0.500
S1 0.000 0.000 0.500
```

=====

No. 2
First-principles (GGA-PBEsol) data for a relaxed CaCo4S8 crystal, as listed in Alexandria via LeMat-Bulk.

Properties
**Crystal system**: trigonal

CIF file:
```
data_CaCo4S8
_cell_length_a 6.5789
_cell_length_b 6.5789
_cell_length_c 18.9086
_cell_angle_alpha 90.00
_cell_angle_beta 90.00
_cell_angle_gamma 120.00
_space_group_name_H-M_alt 'R -3 m'
_space_group_IT_number 166
_space_group_name_Hall '-R 3 2"'
loop_
_atom_site_label
_atom_site_fract_x
_atom_site_fract_y
_atom_site_fract_z
Ca1 0.0000 0.0000 0.0000
Co1 0.0000 0.0000 0.5000
Co2 0.0000 0.5000 0.5000
S1 0.0000 0.0000 0.2290
S2 0.0024 0.5012 0.2277
```

=====

No. 3
First-principles (GGA-PBEsol) data for a relaxed CaCo2Sb2 crystal, as listed in Alexandria via LeMat-Bulk.

Properties
**Crystal system**: tetragonal

CIF file:
```
data_CaCo2Sb2
_cell_length_a 4.232
_cell_length_b 4.232
_cell_length_c 10.841
_cell_angle_alpha 90.00
_cell_angle_beta 90.00
_cell_angle_gamma 90.00
_space_group_name_H-M_alt 'I 4/m m m'
_space_group_IT_number 139
_space_group_name_Hall '-I 4 2'
loop_
_atom_site_label
_atom_site_fract_x
_atom_site_fract_y
_atom_site_fract_z
Ca1 0.000 0.000 0.000
Co1 0.000 0.500 0.250
Sb1 0.000 0.000 0.365
```

=====

No. 4
First-principles (GGA-PBEsol) data for a relaxed CaCoSb2 crystal, as listed in Alexandria via LeMat-Bulk.

Properties
**Crystal system**: cubic

CIF file:
```
data_CaCoSb2
_cell_length_a 6.954
_cell_length_b 6.954
_cell_length_c 6.954
_cell_angle_alpha 90.00
_cell_angle_beta 90.00
_cell_angle_gamma 90.00
_space_group_name_H-M_alt 'F m -3 m'
_space_group_IT_number 225
_space_group_name_Hall '-F 4 2 3'
loop_
_atom_site_label
_atom_site_fract_x
_atom_site_fract_y
_atom_site_fract_z
Ca1 0.000 0.000 0.000
Co1 0.000 0.000 0.500
Sb1 0.250 0.250 0.250
```

=====

No. 5
First-principles (GGA-PBEsol) data for a relaxed Ca2CoSb crystal, as listed in Alexandria via LeMat-Bulk.

Properties
**Crystal system**: orthorhombic

CIF file:
```
data_Ca2CoSb
_cell_length_a 4.223
_cell_length_b 4.413
_cell_length_c 10.847
_cell_angle_alpha 90.00
_cell_angle_beta 90.00
_cell_angle_gamma 90.00
_space_group_name_H-M_alt 'A m m 2'
_space_group_IT_number 38
_space_group_name_Hall 'A 2 -2'
loop_
_atom_site_label
_atom_site_fract_x
_atom_site_fract_y
_atom_site_fract_z
Ca1 0.000 0.000 0.000
Ca2 0.500 0.000 0.288
Co1 0.000 0.000 0.707
Sb1 0.500 0.000 0.585
```

=====

No. 6
First-principles (GGA-PBEsol) data for a relaxed CaCoSb2 crystal, as listed in Alexandria via LeMat-Bulk.

Properties
**Crystal system**: tetragonal

CIF file:
```
data_CaCoSb2
_cell_length_a 7.734
_cell_length_b 7.734
_cell_length_c 6.121
_cell_angle_alpha 90.00
_cell_angle_beta 90.00
_cell_angle_gamma 90.00
_space_group_name_H-M_alt 'I -4 2 d'
_space_group_IT_number 122
_space_group_name_Hall 'I -4 2bw'
loop_
_atom_site_label
_atom_site_fract_x
_atom_site_fract_y
_atom_site_fract_z
Ca1 0.000 0.000 0.000
Co1 0.000 0.000 0.500
Sb1 0.171 0.750 0.625
```

=====

No. 7
First-principles (GGA-PBEsol) data for a relaxed CaCo4Sb crystal, as listed in Alexandria via LeMat-Bulk.

Properties
**Crystal system**: cubic

CIF file:
```
data_CaCo4Sb
_cell_length_a 6.979
_cell_length_b 6.979
_cell_length_c 6.979
_cell_angle_alpha 90.00
_cell_angle_beta 90.00
_cell_angle_gamma 90.00
_space_group_name_H-M_alt 'F -4 3 m'
_space_group_IT_number 216
_space_group_name_Hall 'F -4 2 3'
loop_
_atom_site_label
_atom_site_fract_x
_atom_site_fract_y
_atom_site_fract_z
Ca1 0.000 0.000 0.000
Co1 0.125 0.125 0.375
Sb1 0.250 0.250 0.750
```

=====

No. 8
First-principles (GGA-PBEsol) data for a relaxed Ca2CoSb crystal, as listed in Alexandria via LeMat-Bulk.

Properties
**Crystal system**: tetragonal

CIF file:
```
data_Ca2CoSb
_cell_length_a 4.836
_cell_length_b 4.836
_cell_length_c 6.825
_cell_angle_alpha 90.00
_cell_angle_beta 90.00
_cell_angle_gamma 90.00
_space_group_name_H-M_alt 'I -4 m 2'
_space_group_IT_number 119
_space_group_name_Hall 'I -4 -2'
loop_
_atom_site_label
_atom_site_fract_x
_atom_site_fract_y
_atom_site_fract_z
Ca1 0.000 0.000 0.000
Ca2 0.000 0.500 0.250
Co1 0.000 0.500 0.750
Sb1 0.000 0.000 0.500
```

=====

| no. | uncorrected formation energy (meV/atom) | ρ (g cm⁻³) | spin magnetization (μB per formula unit) |
| --- | --- | --- | --- |
| 1 | 1941 | 5.545 | 5.10 |
| 2 | -629 | 3.742 | 0.01 |
| 3 | -357 | 6.867 | 1.37 |
| 4 | -17 | 6.766 | 1.18 |
| 5 | -302 | 4.286 | 0.97 |
| 6 | -293 | 6.214 | 0.00 |
| 7 | 73 | 7.770 | 6.33 |
| 8 | -129 | 5.427 | 0.00 |